(1)
{"formula": "K2NaMgSb", "functional": "PBEsol", "state": "relaxed", "e_tot_ev_per_cell": -8.0, "n_ef_per_ev_fu": 3.41, "space_group": "P4/mmm", "lattice": [[6.190, 0.000, 0.000], [0.000, 6.190, 0.000], [0.000, 0.000, 5.652]], "species": ["K", "K", "Na", "Mg", "Sb"], "frac_coords": [[0.000, 0.500, 0.000], [0.500, 0.000, 0.000], [0.000, 0.000, 0.500], [0.000, 0.000, 0.000], [0.500, 0.500, 0.500]]}

(2)
{"formula": "KNa2MgTa", "functional": "PBEsol", "state": "relaxed", "e_tot_ev_per_cell": -12.2, "n_ef_per_ev_fu": 4.22, "space_group": "P4/mmm", "e_form_ev_per_atom": 1.19, "lattice": [[5.805, 0.000, 0.000], [0.000, 5.805, 0.000], [0.000, 0.000, 5.536]], "species": ["K", "Na", "Na", "Mg", "Ta"], "frac_coords": [[0.000, 0.000, 0.000], [0.000, 0.500, 0.500], [0.500, 0.000, 0.500], [0.500, 0.500, 0.500], [0.500, 0.500, 0.000]]}

(3)
{"formula": "KMg6Nb", "functional": "PBEsol", "state": "relaxed", "e_tot_ev_per_cell": -19.9, "n_ef_per_ev_fu": 7.09, "space_group": "P4/mmm", "e_form_ev_per_atom": 0.30, "lattice": [[6.562, 0.000, 0.000], [0.000, 6.562, 0.000], [0.000, 0.000, 4.450]], "species": ["K", "Mg", "Mg", "Mg", "Mg", "Mg", "Mg", "Nb"], "frac_coords": [[0.000, 0.000, 0.000], [0.000, 0.500, 0.000], [0.280, 0.280, 0.500], [0.280, 0.720, 0.500], [0.500, 0.000, 0.000], [0.720, 0.280, 0.500], [0.720, 0.720, 0.500], [0.500, 0.500, 0.000]]}

(4)
{"formula": "KMgNbRu2", "functional": "PBEsol", "state": "relaxed", "e_tot_ev_per_cell": -21.4, "n_ef_per_ev_fu": 7.19, "space_group": "P4/mmm", "e_form_ev_per_atom": 2.53, "lattice": [[4.553, 0.000, 0.000], [0.000, 4.553, 0.000], [0.000, 0.000, 4.491]], "species": ["K", "Mg", "Nb", "Ru", "Ru"], "frac_coords": [[0.000, 0.000, 0.000], [0.500, 0.500, 0.500], [0.000, 0.000, 0.500], [0.000, 0.500, 0.000], [0.500, 0.000, 0.000]]}